Entry from Alexandria via LeMat-Bulk: crystalline Y2ReSb at its relaxed geometry (PBE-GGA).

total DFT energy (no corrections)	-7.5556	eV/atom
crystal system	orthorhombic
E_form (uncorrected)	-0.72	eV/f.u.
calculated density	8.20	g/cm3
density of states at the Fermi level	2.738	states/eV/f.u.
total moment	0.000	Bohr magnetons per cell

abc: 6.538 6.538 6.538
angles: 149.23 136.21 54.47
Element x y z (fractional)
Re: 0.492 0.492 0.000
Sb: 0.308 0.808 0.500
Y: 0.994 0.994 0.000
Y: 0.706 0.206 0.500

***

Entry from Alexandria via LeMat-Bulk: crystalline SrYAl at its relaxed geometry (PBE-GGA).

total DFT energy (no corrections)	-4.0612	eV/atom
crystal system	orthorhombic
relative energy among the computed polymorphs	113	meV per atom
calculated density	3.59	g/cm3
density of states at the Fermi level	2.895	states/eV/f.u.
energy relative to the elements	-0.098	eV per atom
total moment	0.000	Bohr magnetons per cell

abc: 7.708 3.693 13.232
angles: 90.00 90.00 90.00
Element x y z (fractional)
Y: 0.390 0.250 0.376
Y: 0.110 0.750 0.876
Y: 0.610 0.750 0.624
Y: 0.890 0.250 0.124
Sr: 0.855 0.250 0.401
Sr: 0.645 0.750 0.901
Sr: 0.145 0.750 0.599
Sr: 0.355 0.250 0.099
Al: 0.873 0.250 0.736
Al: 0.627 0.750 0.236
Al: 0.127 0.750 0.264
Al: 0.373 0.250 0.764

***

What is the density of states at the Fermi level in the second record? 2.895 states/eV/f.u.

***

total moment of number 2 (SrYAl)? 0.000 Bohr magnetons per cell